# Th4AlCu

A relaxed Th4AlCu crystal (GGA-PBE, Alexandria).

The structure belongs to space group P4/mcc (No. 124); the cell edges are 7.563, 7.563 and 5.609 Å and the angles 90.00°, 90.00° and 90.00°. Symmetry generates all atoms from Th at (0.155, 0.337, 0.000), Al at (0.500, 0.500, 0.250) and Cu at (0.000, 0.000, 0.250).

The total magnetic moment comes out at 0.00 μB per atom. As for the relative energy among the computed polymorphs: 0.0000 eV/atom. The value obtained for the density of states at the Fermi level is 5.7 states/eV/f.u. Its crystal system is tetragonal. The value obtained for the electronic total energy is -6.41 eV/atom.